Li2Ru2S | the Alexandria database | GGA-PBE | optimized geometry; uncorrected formation energy = 323 meV per atom; space-group type = P4/mbm
1.0
-4.1580 -3.0207 2.2899
3.3768 -4.4960 0.2007
1.1547 1.0210 3.4434
Li Ru S
4 4 2
Cartesian
1.3984 -5.0387 1.0250
0.7184 -2.0581 0.3693
-2.1796 -2.4780 1.4656
-1.4996 -5.4587 2.1213
2.1220 -3.1210 2.2805
-1.7485 -3.3748 3.6536
0.4884 -5.2244 3.4519
-0.1149 -1.2714 2.4821
0.0000 0.0000 0.0000
-0.3906 -3.7584 1.2453

Li2RuS4 | the Alexandria database | GGA-PBE | optimized geometry; uncorrected formation energy = -162 meV per atom; space-group type = I4/mmm
1.0
-3.8795 2.0619 -1.8532
-2.6466 -1.8054 3.5316
-2.2164 5.0759 4.1529
Ru Li S
1 2 4
Cartesian
0.0000 0.0000 0.0000
-5.7169 4.0817 4.2404
-3.0256 1.2507 1.5910
-6.1275 2.1405 2.9403
-2.6150 3.1918 2.8910
-1.3233 -0.9027 1.7658
-1.9398 1.0309 -0.9266

LiRuS3 | the Alexandria database | GGA-PBE | optimized geometry; uncorrected formation energy = 869 meV per atom; space-group type = Pm-3m
1.0
4.2391 0.0000 0.0000
0.0000 4.2391 0.0000
0.0000 0.0000 4.2391
Li S Ru
1 3 1
Cartesian
0.0000 0.0000 0.0000
0.0000 2.1196 0.0000
0.0000 0.0000 2.1196
2.1196 0.0000 0.0000
2.1196 2.1196 2.1196

Li3RuS | the Alexandria database | GGA-PBE | optimized geometry; uncorrected formation energy = 169 meV per atom; space-group type = Pm-3m
1.0
-3.6369 -2.1643 1.5457
1.8974 -0.2767 4.0771
-1.8636 3.9420 1.1348
Ru Li S
1 3 1
Cartesian
-1.8015 0.7505 3.3788
-0.9318 1.9710 0.5674
0.9487 -0.1383 2.0386
-1.8184 -1.0821 0.7728
0.0000 0.0000 0.0000

LiRu2S | the Alexandria database | GGA-PBE | optimized geometry; uncorrected formation energy = 61 meV per atom; space-group type = I-42d
1.0
7.1497 0.0000 0.0000
0.0000 7.1497 0.0000
3.5748 3.5748 2.3783
S Ru Li
2 4 2
Cartesian
7.1497 3.5748 1.1891
0.0000 0.0000 0.0000
1.1233 5.3622 0.5946
8.9371 9.6012 1.7837
5.3622 4.6981 1.7837
6.0264 1.7874 0.5946
3.5748 3.5748 0.0000
3.5748 7.1497 1.1891

LiScRu2S | the Alexandria database | GGA-PBE | optimized geometry; uncorrected formation energy = -204 meV per atom; space-group type = P4/mmm
1.0
4.3894 0.0000 0.0000
0.0000 4.2254 0.0000
0.0000 0.0000 4.3894
Li Ru Sc S
1 2 1 1
Cartesian
0.0000 2.1127 0.0000
0.0000 0.0000 2.1947
2.1947 0.0000 0.0000
2.1947 2.1127 2.1947
0.0000 0.0000 0.0000

- Number 6 is which compound?
  LiScRu2S

- Look up the uncorrected formation energy of the first one.
  323 meV per atom